Entry 1:
## TmThBi (PBE)

Data for a geometry-optimized TmThBi structure.

Properties
V in Å³ per atom: 33.3
Total energy in eV/atom: -5.55
Energy of formation in meV/atom: -296
Density of states at the Fermi level in states/eV/f.u.: 3.13

The structure in CIF format:
```
data_TmThBi
_chemical_formula_sum 'Tm2 Th2 Bi2'
_space_group_name_H-M_alt 'P 1'
_space_group_IT_number 1
_space_group_name_Hall 'P 1'
_cell_length_a 4.1516
_cell_length_b 6.1333
_cell_length_c 8.6241
_cell_angle_alpha 103.68
_cell_angle_beta 90.00
_cell_angle_gamma 109.78
loop_
_atom_site_label
_atom_site_type_symbol
_atom_site_fract_x
_atom_site_fract_y
_atom_site_fract_z
_atom_site_occupancy
Tm1 Tm 0.8744 0.7489 0.1991 1
Tm2 Tm 0.1256 0.2511 0.8009 1
Th1 Th 0.6252 0.2503 0.4561 1
Th2 Th 0.3748 0.7497 0.5439 1
Bi1 Bi 0.8419 0.6839 0.8272 1
Bi2 Bi 0.1581 0.3161 0.1728 1
```

Entry 2:
## NaRu2I (PBE)

Data for a geometry-optimized NaRu2I structure.

Properties
Uncorrected formation energy in eV per atom: 1.11
V in Å³ per atom: 20.9
Total energy in eV/atom: -4.24
Density of states at the Fermi level in states/eV/f.u.: 3.29

The structure in CIF format:
```
data_NaRu2I
_chemical_formula_sum 'Na2 Ru4 I2'
_space_group_name_H-M_alt 'P 1'
_space_group_IT_number 1
_space_group_name_Hall 'P 1'
_cell_length_a 7.7185
_cell_length_b 7.7185
_cell_length_c 6.1395
_cell_angle_alpha 51.05
_cell_angle_beta 51.05
_cell_angle_gamma 90.00
loop_
_atom_site_label
_atom_site_type_symbol
_atom_site_fract_x
_atom_site_fract_y
_atom_site_fract_z
_atom_site_occupancy
I1 I 0.0000 0.0000 0.0000 1
I2 I 0.7500 0.2500 0.5000 1
Ru1 Ru 0.6879 0.1250 0.2500 1
Ru2 Ru 0.0621 0.6250 0.2500 1
Ru3 Ru 0.3750 0.3121 0.7500 1
Ru4 Ru 0.8750 0.9379 0.7500 1
Na1 Na 0.5000 0.5000 0.0000 1
Na2 Na 0.2500 0.7500 0.5000 1
```